No. 1
# BaSrTeSe, relaxed, DFT PBE
data_BaSrTeSe
_space_group_name_H-M_alt 'R 3 m'
_space_group_IT_number 160
_space_group_name_Hall 'R 3 -2"'
_cell_length_a 4.7272
_cell_length_b 4.7272
_cell_length_c 23.2868
_cell_angle_alpha 90.00
_cell_angle_beta 90.00
_cell_angle_gamma 120.00
loop_
_atom_site_label
_atom_site_type_symbol
_atom_site_fract_x
_atom_site_fract_y
_atom_site_fract_z
_atom_site_occupancy
Ba1 Ba 0.0000 0.0000 0.0000 1
Sr1 Sr 0.0000 0.0000 0.5097 1
Te1 Te 0.0000 0.0000 0.7597 1
Se1 Se 0.0000 0.0000 0.2508 1
# * density of states at the Fermi level: 0.0000 states/eV per atom
# * crystal system: trigonal
# * formation energy (no corrections): -1.893 eV/atom
# * total magnetic moment: 0.00 μB/cell


No. 2
# Rb4Sm3ZrS8, relaxed, DFT PBE
data_Rb4Sm3ZrS8
_space_group_name_H-M_alt 'R -3 m'
_space_group_IT_number 166
_space_group_name_Hall '-R 3 2"'
_cell_length_a 8.1517
_cell_length_b 8.1517
_cell_length_c 23.1322
_cell_angle_alpha 90.00
_cell_angle_beta 90.00
_cell_angle_gamma 120.00
loop_
_atom_site_label
_atom_site_type_symbol
_atom_site_fract_x
_atom_site_fract_y
_atom_site_fract_z
_atom_site_occupancy
Rb1 Rb 0.0000 0.0000 0.0000 1
Rb2 Rb 0.0000 0.5000 0.0000 1
Sm1 Sm 0.0000 0.5000 0.5000 1
Zr1 Zr 0.0000 0.0000 0.5000 1
S1 S 0.0000 0.0000 0.2332 1
S2 S 0.0178 0.5089 0.2308 1
# * density of states at the Fermi level: 0.3029 states/eV per atom
# * crystal system: trigonal
# * formation energy (no corrections): -1.715 eV/atom
# * total magnetic moment: 0.00 μB/cell


No. 3
# LiZnCo, relaxed, DFT PBE
data_LiZnCo
_space_group_name_H-M_alt 'F m m 2'
_space_group_IT_number 42
_space_group_name_Hall 'F 2 -2'
_cell_length_a 2.956
_cell_length_b 4.057
_cell_length_c 12.820
_cell_angle_alpha 90.00
_cell_angle_beta 90.00
_cell_angle_gamma 90.00
loop_
_atom_site_label
_atom_site_type_symbol
_atom_site_fract_x
_atom_site_fract_y
_atom_site_fract_z
_atom_site_occupancy
Li1 Li 0.000 0.000 0.000 1
Zn1 Zn 0.000 0.000 0.679 1
Co1 Co 0.000 0.000 0.339 1
# * density of states at the Fermi level: 0.7629 states/eV per atom
# * ΔH_f (0 K): 0.18 eV/f.u.
# * crystal system: orthorhombic
# * total magnetic moment: 5.19 μB/cell


No. 4
# Pa2Al4ZnPd3, relaxed, DFT PBE
data_Pa2Al4ZnPd3
_space_group_name_H-M_alt 'P -4 m 2'
_space_group_IT_number 115
_space_group_name_Hall 'P -4 -2'
_cell_length_a 4.200
_cell_length_b 4.200
_cell_length_c 10.475
_cell_angle_alpha 90.00
_cell_angle_beta 90.00
_cell_angle_gamma 90.00
loop_
_atom_site_label
_atom_site_type_symbol
_atom_site_fract_x
_atom_site_fract_y
_atom_site_fract_z
_atom_site_occupancy
Pa1 Pa 0.000 0.500 0.249 1
Al1 Al 0.000 0.000 0.000 1
Al2 Al 0.000 0.500 0.633 1
Al3 Al 0.500 0.500 0.000 1
Zn1 Zn 0.000 0.000 0.500 1
Pd1 Pd 0.000 0.500 0.865 1
Pd2 Pd 0.500 0.500 0.500 1
# * density of states at the Fermi level: 0.8425 states/eV per atom
# * ΔH_f (0 K): -5.58 eV/f.u.
# * crystal system: tetragonal
# * total magnetic moment: 0.00 μB/cell


No. 5
# CeHoHf2, relaxed, DFT PBE
data_CeHoHf2
_space_group_name_H-M_alt 'R -3 m'
_space_group_IT_number 166
_space_group_name_Hall '-R 3 2"'
_cell_length_a 5.1483
_cell_length_b 5.1483
_cell_length_c 13.5558
_cell_angle_alpha 90.00
_cell_angle_beta 90.00
_cell_angle_gamma 120.00
loop_
_atom_site_label
_atom_site_type_symbol
_atom_site_fract_x
_atom_site_fract_y
_atom_site_fract_z
_atom_site_occupancy
Ce1 Ce 0.0000 0.0000 0.0000 1
Ho1 Ho 0.0000 0.0000 0.5000 1
Hf1 Hf 0.0000 0.0000 0.2732 1
# * density of states at the Fermi level: 1.8958 states/eV per atom
# * ΔH_f (0 K): 1.11 eV/f.u.
# * crystal system: trigonal
# * total magnetic moment: 0.00 μB/cell


No. 6
# Pr2YCd4, relaxed, DFT PBE
data_Pr2YCd4
_space_group_name_H-M_alt 'I 4/m m m'
_space_group_IT_number 139
_space_group_name_Hall '-I 4 2'
_cell_length_a 5.644
_cell_length_b 5.644
_cell_length_c 16.039
_cell_angle_alpha 90.00
_cell_angle_beta 90.00
_cell_angle_gamma 90.00
loop_
_atom_site_label
_atom_site_type_symbol
_atom_site_fract_x
_atom_site_fract_y
_atom_site_fract_z
_atom_site_occupancy
Pr1 Pr 0.000 0.000 0.108 1
Y1 Y 0.000 0.000 0.500 1
Cd1 Cd 0.000 0.000 0.311 1
Cd2 Cd 0.000 0.500 0.000 1
# * density of states at the Fermi level: 1.0714 states/eV per atom
# * ΔH_f (0 K): 1.44 eV/f.u.
# * crystal system: tetragonal
# * total magnetic moment: 0.00 μB/cell


Q: Which value of density of states at the Fermi level does entry 6 give?
A: 1.0714 states/eV per atom